# SrCrW2

Crystalline SrCrW2 at its relaxed geometry (PBE, the Alexandria database).

Lattice parameters (Å, degrees): 5.487 5.767 2.795 82.56 76.29 114.73
Site moments in Bohr magnetons follow the coordinates.
Element x y z (fractional)
Cr1 0.000 0.500 0.500  3.03
Sr1 0.500 0.500 0.000  0.04
W1 0.000 0.000 0.000  -0.20
W2 0.500 0.000 0.500  -0.20

The calculation puts the total energy at -32.28 eV per cell. As for the density of states at the Fermi level: 4.34 states/eV per cell. Its space group is No. 12. The value obtained for the relative energy among the computed polymorphs is 0.441 eV/atom.